No. 1
La2ZrAg: optimized geometry, PBE.

abc: 3.4952 5.4604 5.5514
angles: 90.00 90.00 90.00
Last column: nearest neighbours and their distance in Å.
Atoms (fractional coordinates):
La 0.0000 0.0000 0.0000  4 Ag 3.24, 6 La 3.28-3.50
La 0.5000 0.0000 0.5000  4 Zr 3.24, 6 La 3.28-3.50
Zr 0.0000 0.5000 0.5000  4 La 3.24, 4 Ag 3.28, 2 Zr 3.50
Ag 0.5000 0.5000 0.0000  4 La 3.24, 4 Zr 3.28, 2 Ag 3.50

Results
- M_tot (μB per cell) = 0.00
- distance to the lowest polymorph of the same formula (meV per atom) = 158.6


No. 2
LaZrAg: optimized geometry, PBE.

abc: 8.2451 4.5408 8.5549
angles: 90.00 90.00 90.00
Last column: nearest neighbours and their distance in Å.
Atoms (fractional coordinates):
La 0.0347 0.2500 0.1641  5 Ag 3.20-3.38, 3 Zr 3.44-3.53
La 0.4653 0.7500 0.6641  5 Ag 3.20-3.38, 3 Zr 3.44-3.53
La 0.5347 0.2500 0.3359  5 Ag 3.20-3.38, 3 Zr 3.44-3.53
La 0.9653 0.7500 0.8359  5 Ag 3.20-3.38, 3 Zr 3.44-3.53
Zr 0.1197 0.2500 0.5578  4 Ag 2.90-2.97, 2 Zr 3.17
Zr 0.3803 0.7500 0.0578  4 Ag 2.90-2.97, 2 Zr 3.17
Zr 0.6197 0.2500 0.9422  4 Ag 2.90-2.97, 2 Zr 3.17
Zr 0.8803 0.7500 0.4422  4 Ag 2.90-2.97, 2 Zr 3.17
Ag 0.2318 0.7500 0.3655  4 Zr 2.90-2.97, 1 La 3.20
Ag 0.2682 0.2500 0.8655  4 Zr 2.90-2.97, 1 La 3.20
Ag 0.7318 0.7500 0.1345  4 Zr 2.90-2.97, 1 La 3.20
Ag 0.7682 0.2500 0.6345  4 Zr 2.90-2.97, 1 La 3.20

Results
- M_tot (μB per cell) = 0.14
- distance to the lowest polymorph of the same formula (meV per atom) = 98.7


No. 3
La2ZrAg: optimized geometry, PBE.

abc: 5.4384 5.4384 5.4384
angles: 60.00 60.00 60.00
Last column: nearest neighbours and their distance in Å.
Atoms (fractional coordinates):
La 0.2500 0.2500 0.2500  4 Zr 3.33, 4 Ag 3.33
La 0.7500 0.7500 0.7500  4 Ag 3.33, 4 Zr 3.33
Zr 0.0000 0.0000 0.0000  8 La 3.33
Ag 0.5000 0.5000 0.5000  8 La 3.33

Results
- M_tot (μB per cell) = 1.28
- distance to the lowest polymorph of the same formula (meV per atom) = 163.9


No. 4
LaZrAg2: optimized geometry, PBE.

abc: 10.2190 10.2190 10.2190
angles: 18.61 18.61 18.61
Last column: nearest neighbours and their distance in Å.
Atoms (fractional coordinates):
La 0.0000 0.0000 0.0000  6 La 3.31, 3 Ag 3.33, 3 Zr 3.41
Zr 0.7605 0.7605 0.7605  3 Ag 3.00, 6 Zr 3.31
Ag 0.2429 0.2429 0.2429  3 Ag 2.89
Ag 0.5041 0.5041 0.5041  3 Ag 2.89, 3 Zr 3.00

Results
- M_tot (μB per cell) = 0.00
- distance to the lowest polymorph of the same formula (meV per atom) = 211.0


No. 5
LaZr2Ag: optimized geometry, PBE.

abc: 5.0473 5.0473 5.0473
angles: 60.00 60.00 60.00
Last column: nearest neighbours and their distance in Å.
Atoms (fractional coordinates):
La 0.0000 0.0000 0.0000  8 Zr 3.09
Zr 0.2500 0.2500 0.2500  4 La 3.09, 4 Ag 3.09
Zr 0.7500 0.7500 0.7500  4 La 3.09, 4 Ag 3.09
Ag 0.5000 0.5000 0.5000  8 Zr 3.09

Results
- M_tot (μB per cell) = 0.00
- distance to the lowest polymorph of the same formula (meV per atom) = 280.5


No. 6
La2ZrAg: optimized geometry, PBE.

abc: 6.3140 6.3140 6.3140
angles: 146.43 127.44 63.82
Last column: nearest neighbours and their distance in Å.
Atoms (fractional coordinates):
La 0.2404 0.2404 0.0000  2 Ag 3.16, 2 Zr 3.33, 4 La 3.34
La 0.7596 0.7596 0.0000  2 Ag 3.16, 2 Zr 3.33, 4 La 3.34
Zr 0.5000 0.0000 0.5000  4 La 3.33, 4 Ag 3.34, 2 Zr 3.65
Ag 0.0000 0.5000 0.5000  4 La 3.16, 4 Zr 3.34

Results
- M_tot (μB per cell) = 0.00
- distance to the lowest polymorph of the same formula (meV per atom) = 171.2


No. 7
LaZrAg: optimized geometry, PBE.

abc: 6.1652 6.1652 5.0811
angles: 114.25 114.25 88.64
Last column: nearest neighbours and their distance in Å.
Atoms (fractional coordinates):
La 0.2018 0.7982 0.5000  6 Zr 3.27-3.56, 6 Ag 3.29-3.62
La 0.7982 0.2018 0.0000  6 Zr 3.27-3.56, 6 Ag 3.29-3.62
Zr 0.6167 0.7772 0.1975  2 Ag 2.88-2.96, 2 Zr 2.89
Zr 0.7772 0.6167 0.6975  2 Ag 2.88-2.96, 2 Zr 2.89
Ag 0.2115 0.3845 0.7971  2 Zr 2.88-2.96, 2 Ag 2.95
Ag 0.3845 0.2115 0.2971  2 Zr 2.88-2.96, 2 Ag 2.95

Results
- M_tot (μB per cell) = 0.00
- distance to the lowest polymorph of the same formula (meV per atom) = 78.3


No. 8
LaZrAg: optimized geometry, PBE.

abc: 4.4034 4.4034 7.9515
angles: 90.00 90.00 90.00
Last column: nearest neighbours and their distance in Å.
Atoms (fractional coordinates):
La 0.2500 0.7500 0.0000  4 La 3.11, 4 Ag 3.18
La 0.7500 0.2500 0.0000  4 La 3.11, 4 Ag 3.18
Zr 0.2500 0.2500 0.3781  1 Ag 2.65
Zr 0.7500 0.7500 0.6219  1 Ag 2.65
Ag 0.2500 0.2500 0.7111  1 Zr 2.65
Ag 0.7500 0.7500 0.2889  1 Zr 2.65

Results
- M_tot (μB per cell) = 0.00
- distance to the lowest polymorph of the same formula (meV per atom) = 363.5


No. 9
LaZrAg2: optimized geometry, PBE.

abc: 10.2149 10.2149 10.2149
angles: 18.70 18.70 18.70
Last column: nearest neighbours and their distance in Å.
Atoms (fractional coordinates):
La 0.0000 0.0000 0.0000  6 La 3.32, 6 Ag 3.33
Zr 0.5000 0.5000 0.5000  6 Ag 2.99, 6 Zr 3.32
Ag 0.2429 0.2429 0.2429  3 Zr 2.99, 6 Ag 3.32, 3 La 3.33
Ag 0.7571 0.7571 0.7571  3 Zr 2.99, 6 Ag 3.32, 3 La 3.33

Results
- M_tot (μB per cell) = 0.00
- distance to the lowest polymorph of the same formula (meV per atom) = 205.3


No. 10
LaZrAg: optimized geometry, PBE.

abc: 6.4438 6.4438 8.4475
angles: 119.82 119.82 31.00
Last column: nearest neighbours and their distance in Å.
Atoms (fractional coordinates):
La 0.0000 0.0000 0.0000  5 Ag 3.26-3.37, 4 Zr 3.37-3.38, 2 La 3.44
La 0.1739 0.1739 0.5991  4 Ag 3.25-3.29, 5 Zr 3.29-3.47, 2 La 3.44
Zr 0.4133 0.4133 0.2608  1 Zr 2.87, 4 Ag 3.01-3.09
Zr 0.4470 0.4470 0.6239  1 Zr 2.87, 3 Ag 3.06-3.08
Ag 0.7151 0.7151 0.9583  1 Ag 2.99, 3 Zr 3.01-3.06, 4 La 3.29-3.35
Ag 0.7323 0.7323 0.3249  1 Ag 2.99, 4 Zr 3.08-3.09, 4 La 3.25-3.26

Results
- M_tot (μB per cell) = 0.00
- distance to the lowest polymorph of the same formula (meV per atom) = 108.9


No. 11
LaZr2Ag: optimized geometry, PBE.

abc: 5.1779 5.1779 5.1779
angles: 60.00 60.00 60.00
Last column: nearest neighbours and their distance in Å.
Atoms (fractional coordinates):
La 0.0000 0.0000 0.0000  4 Zr 3.17, 4 Ag 3.17
Zr 0.2500 0.2500 0.2500  4 Zr 3.17, 4 La 3.17
Zr 0.5000 0.5000 0.5000  4 Zr 3.17, 4 Ag 3.17
Ag 0.7500 0.7500 0.7500  4 Zr 3.17, 4 La 3.17

Results
- M_tot (μB per cell) = 1.56
- distance to the lowest polymorph of the same formula (meV per atom) = 214.8


No. 12
LaZrAg: optimized geometry, PBE.

abc: 5.2175 3.4229 8.9539
angles: 90.00 106.81 90.00
Last column: nearest neighbours and their distance in Å.
Atoms (fractional coordinates):
La 0.1781 0.0000 0.3542  4 Ag 3.18-3.19, 2 La 3.42, 2 Zr 3.48
La 0.8219 0.0000 0.6458  4 Ag 3.18-3.19, 2 La 3.42, 2 Zr 3.48
Zr 0.0000 0.5000 0.0000  6 Zr 3.12-3.42, 4 La 3.48
Zr 0.5000 0.0000 0.0000  4 Ag 2.94, 4 Zr 3.12
Ag 0.3603 0.5000 0.7214  2 Zr 2.94, 4 La 3.18-3.19
Ag 0.6397 0.5000 0.2786  2 Zr 2.94, 4 La 3.18-3.19

Results
- M_tot (μB per cell) = 0.00
- distance to the lowest polymorph of the same formula (meV per atom) = 13.0


| no. | ΔH_f (0 K) (eV per formula unit) |
| --- | --- |
| 1 | 0.6 |
| 2 | 0.1 |
| 3 | 0.6 |
| 4 | 0.5 |
| 5 | 1.0 |
| 6 | 0.6 |
| 7 | 0.0 |
| 8 | 0.9 |
| 9 | 0.5 |
| 10 | 0.1 |
| 11 | 0.7 |
| 12 | -0.2 |